*i*
{"formula": "BaNaHg4", "functional": "PBE", "state": "relaxed", "cell": [[0.000, 4.430, 4.430], [4.430, 0.000, 4.430], [4.430, 4.430, 0.000]], "species": ["Ba", "Na", "Hg", "Hg", "Hg", "Hg"], "frac_coords": [[0.000, 0.000, 0.000], [0.750, 0.750, 0.750], [0.376, 0.376, 0.376], [0.376, 0.376, 0.873], [0.376, 0.873, 0.376], [0.873, 0.376, 0.376]]}

***

*ii*
{"formula": "BaNaHg4", "functional": "PBE", "state": "relaxed", "cell": [[-2.242, 2.242, 9.768], [2.242, -2.242, 9.768], [2.242, 2.242, -9.768]], "species": ["Ba", "Na", "Hg", "Hg", "Hg", "Hg"], "frac_coords": [[0.000, 0.000, 0.000], [0.750, 0.250, 0.500], [0.177, 0.677, 0.500], [0.323, 0.823, 0.500], [0.418, 0.418, 0.000], [0.582, 0.582, 0.000]]}

***

*iii*
{"formula": "BaNaHg4", "functional": "PBE", "state": "relaxed", "cell": [[-2.765, 3.843, 4.311], [2.765, -3.843, 4.311], [2.765, 3.843, -4.311]], "species": ["Ba", "Na", "Hg", "Hg", "Hg", "Hg"], "frac_coords": [[0.000, 0.000, 0.000], [0.500, 0.000, 0.500], [0.048, 0.326, 0.722], [0.396, 0.674, 0.722], [0.604, 0.326, 0.278], [0.952, 0.674, 0.278]]}

***

Relative energies with respect to the most stable structure, expressed in meV/atom: *i* 43; *ii* 59; *iii* 0.

***

*i*
{"formula": "Ba2Na5Hg4", "functional": "PBE", "state": "relaxed", "cell": [[0.000, 5.285, 10.593], [3.244, 0.000, 10.593], [3.244, 5.285, 0.000]], "species": ["Ba", "Ba", "Na", "Na", "Na", "Na", "Na", "Hg", "Hg", "Hg", "Hg"], "frac_coords": [[0.131, 0.131, 0.869], [0.869, 0.869, 0.131], [0.000, 0.000, 0.500], [0.250, 0.250, 0.250], [0.500, 0.500, 0.000], [0.500, 0.500, 0.500], [0.750, 0.750, 0.750], [0.214, 0.531, 0.469], [0.469, 0.786, 0.214], [0.531, 0.214, 0.786], [0.786, 0.469, 0.531]]}

***

*ii*
{"formula": "Ba2Na5Hg4", "functional": "PBE", "state": "relaxed", "cell": [[-3.232, 5.075, 5.537], [3.232, -5.075, 5.537], [3.232, 5.075, -5.537]], "species": ["Ba", "Ba", "Na", "Na", "Na", "Na", "Na", "Hg", "Hg", "Hg", "Hg"], "frac_coords": [[0.218, 0.218, 0.000], [0.782, 0.782, 0.000], [0.000, 0.500, 0.500], [0.309, 0.246, 0.555], [0.309, 0.754, 0.063], [0.691, 0.246, 0.937], [0.691, 0.754, 0.445], [0.078, 0.740, 0.338], [0.402, 0.740, 0.662], [0.598, 0.260, 0.338], [0.922, 0.260, 0.662]]}

***

Relative energies with respect to the most stable structure, expressed in meV/atom: *i* 22; *ii* 0.

***

*i*
{"formula": "Ba3NaHg", "functional": "PBE", "state": "relaxed", "cell": [[8.707, 0.000, 0.000], [0.000, 5.772, 0.000], [-3.879, 0.000, 9.939]], "species": ["Ba", "Ba", "Ba", "Ba", "Ba", "Ba", "Na", "Na", "Hg", "Hg"], "frac_coords": [[0.057, 0.250, 0.270], [0.305, 0.250, 0.940], [0.344, 0.750, 0.601], [0.656, 0.250, 0.399], [0.695, 0.750, 0.060], [0.943, 0.750, 0.730], [0.300, 0.750, 0.187], [0.700, 0.250, 0.813], [0.079, 0.250, 0.606], [0.921, 0.750, 0.394]]}

***

*ii*
{"formula": "Ba3NaHg", "functional": "PBE", "state": "relaxed", "cell": [[6.685, 0.000, 0.000], [0.000, 6.685, 0.000], [0.000, 0.000, 6.685]], "species": ["Ba", "Ba", "Ba", "Na", "Hg"], "frac_coords": [[0.000, 0.000, 0.500], [0.000, 0.500, 0.000], [0.500, 0.000, 0.000], [0.500, 0.500, 0.500], [0.000, 0.000, 0.000]]}

***

Relative energies with respect to the most stable structure, expressed in meV/atom: *i* 0; *ii* 48.

***

*i*
{"formula": "BaNaHg2Pd", "functional": "PBE", "state": "relaxed", "cell": [[5.465, 0.000, 0.000], [0.000, 5.465, 0.000], [0.000, 0.000, 5.775]], "species": ["Ba", "Na", "Hg", "Hg", "Pd"], "frac_coords": [[0.000, 0.000, 0.000], [0.500, 0.500, 0.000], [0.000, 0.500, 0.500], [0.500, 0.000, 0.500], [0.000, 0.000, 0.500]]}

***

*ii*
{"formula": "BaNaHg2Pd", "functional": "PBE", "state": "relaxed", "cell": [[5.391, 0.000, 0.000], [0.000, 5.391, 0.000], [0.000, 0.000, 5.240]], "species": ["Ba", "Na", "Hg", "Hg", "Pd"], "frac_coords": [[0.000, 0.000, 0.000], [0.500, 0.500, 0.000], [0.000, 0.500, 0.500], [0.500, 0.000, 0.500], [0.500, 0.500, 0.500]]}

***

*iii*
{"formula": "BaNaHg2Pd", "functional": "PBE", "state": "relaxed", "cell": [[-2.230, 2.297, 6.849], [2.230, -2.297, 6.849], [2.230, 2.297, -6.849]], "species": ["Ba", "Na", "Hg", "Hg", "Pd"], "frac_coords": [[0.000, 0.000, 0.000], [0.271, 0.771, 0.500], [0.620, 0.620, 0.000], [0.786, 0.286, 0.500], [0.417, 0.417, 0.000]]}

***

Relative energies with respect to the most stable structure, expressed in meV/atom: *i* 180; *ii* 126; *iii* 0.

***

*i*
{"formula": "Ba2NaHgPt", "functional": "PBE", "state": "relaxed", "cell": [[6.117, 0.000, 0.000], [0.000, 6.117, 0.000], [0.000, 0.000, 5.466]], "species": ["Ba", "Ba", "Na", "Hg", "Pt"], "frac_coords": [[0.000, 0.500, 0.000], [0.500, 0.000, 0.000], [0.000, 0.000, 0.500], [0.500, 0.500, 0.500], [0.000, 0.000, 0.000]]}

***

*ii*
{"formula": "Ba2NaHgPt", "functional": "PBE", "state": "relaxed", "cell": [[6.246, 0.000, 0.000], [0.000, 6.246, 0.000], [0.000, 0.000, 4.998]], "species": ["Ba", "Ba", "Na", "Hg", "Pt"], "frac_coords": [[0.000, 0.500, 0.000], [0.500, 0.000, 0.000], [0.000, 0.000, 0.000], [0.000, 0.000, 0.500], [0.500, 0.500, 0.500]]}

***

*iii*
{"formula": "Ba2NaHgPt", "functional": "PBE", "state": "relaxed", "cell": [[6.180, 0.000, 0.000], [0.000, 6.180, 0.000], [0.000, 0.000, 5.397]], "species": ["Ba", "Ba", "Na", "Hg", "Pt"], "frac_coords": [[0.000, 0.500, 0.000], [0.500, 0.000, 0.000], [0.000, 0.000, 0.500], [0.500, 0.500, 0.500], [0.500, 0.500, 0.000]]}

***

*iv*
{"formula": "Ba2NaHgPt", "functional": "PBE", "state": "relaxed", "cell": [[4.668, 0.000, 0.000], [0.000, 4.668, 0.000], [0.000, 0.000, 16.496]], "species": ["Ba", "Ba", "Ba", "Ba", "Na", "Na", "Hg", "Hg", "Pt", "Pt"], "frac_coords": [[0.250, 0.250, 0.093], [0.250, 0.250, 0.715], [0.750, 0.750, 0.285], [0.750, 0.750, 0.907], [0.250, 0.750, 0.500], [0.750, 0.250, 0.500], [0.250, 0.250, 0.361], [0.750, 0.750, 0.639], [0.250, 0.250, 0.898], [0.750, 0.750, 0.102]]}

***

Relative energies with respect to the most stable structure, expressed in meV/atom: *i* 109; *ii* 815; *iii* 94; *iv* 0.

***

*i*
{"formula": "BaNaHg2Rh", "functional": "PBE", "state": "relaxed", "cell": [[5.430, 0.000, 0.000], [0.000, 5.430, 0.000], [0.000, 0.000, 5.596]], "species": ["Ba", "Na", "Hg", "Hg", "Rh"], "frac_coords": [[0.000, 0.000, 0.000], [0.500, 0.500, 0.000], [0.000, 0.500, 0.500], [0.500, 0.000, 0.500], [0.000, 0.000, 0.500]]}

***

*ii*
{"formula": "BaNaHg2Rh", "functional": "PBE", "state": "relaxed", "cell": [[5.347, 0.000, 0.000], [0.000, 5.347, 0.000], [0.000, 0.000, 5.220]], "species": ["Ba", "Na", "Hg", "Hg", "Rh"], "frac_coords": [[0.000, 0.000, 0.000], [0.500, 0.500, 0.000], [0.000, 0.500, 0.500], [0.500, 0.000, 0.500], [0.500, 0.500, 0.500]]}

***

Relative energies with respect to the most stable structure, expressed in meV/atom: *i* 31; *ii* 0.